16
Lattice="6.514 0.020 -0.134 0.015 6.514 -0.134 -3.322 -3.324 4.754" Properties=species:S:1:pos:R:3 comment="Na2ErFeO4 (GGA+U, optimized geometry)" total_energy_ev_per_cell=-99.99 vol_a3_per_atom=12.24 space_group=Imma magnetic_moment_mub_per_atom=0.620 pbc="T T T"
Na 3.257 0.010 -0.067
Na 1.596 -1.652 2.310
Na -1.661 -1.662 2.377
Na 3.265 3.267 -0.134
Er 0.008 3.257 -0.067
Er 4.861 1.615 2.176
Fe 1.604 1.605 2.243
Fe 0.000 0.000 0.000
O -1.861 1.637 4.544
O 3.158 0.161 2.319
O 0.050 3.049 2.167
O 5.069 1.573 -0.058
O 1.742 1.665 4.370
O 3.147 3.072 2.358
O 0.060 0.138 2.127
O 1.466 1.544 0.115

12
Lattice="-4.687 -3.186 0.433 4.288 -1.678 -3.331 2.379 -1.129 5.219" Properties=species:S:1:pos:R:3 comment="Na3Er2FeO6 (GGA+U, optimized geometry)" total_energy_ev_per_cell=-77.22 vol_a3_per_atom=12.90 space_group=C2/m magnetic_moment_mub_per_atom=0.412 pbc="T T T"
Na 4.061 -2.481 -0.128
Na -2.081 -3.512 2.448
Na 0.990 -2.996 1.160
Er 1.300 -2.180 -2.078
Er -1.699 -2.684 -0.820
Fe 0.000 0.000 0.000
O 0.162 -4.897 2.482
O 0.187 -3.891 -1.114
O 1.818 -1.096 -0.162
O 2.988 -4.422 1.297
O 1.793 -2.102 3.434
O -1.008 -1.570 1.023